This record from Alexandria via LeMat-Bulk describes crystalline KCe2Tl9 at its relaxed geometry. The functional is PBE-GGA.

Results
- total DFT energy (no corrections) (eV for the cell shown) = -36.00
- E_form (eV per atom) = -0.145

The structure in POSCAR format:
```
KCe2Tl9
1.0
-2.039 -2.443 -3.709
-3.665 -1.380 2.924
-7.621 12.155 -3.815
Tl K Ce
9 1 2
direct
0.500 0.500 0.337
0.500 0.000 0.500
0.000 0.500 0.500
0.500 0.500 0.663
0.500 0.500 0.000
0.500 0.000 0.177
0.500 0.000 0.823
0.000 0.500 0.823
0.000 0.500 0.177
0.000 0.000 0.000
0.000 0.000 0.659
0.000 0.000 0.341
```